Run i
Compound: TmZrAu
Source: Alexandria
Functional: GGA-PBE
Structure: optimized geometry

Cell and atoms, written as POSCAR:
```
TmZrAu
1.0
-1.223 -1.600 3.869
-0.463 -3.954 -1.782
7.114 -1.556 1.605
Tm Au Zr
2 2 2
Direct
0.000 0.500 0.856 Tm
0.500 0.000 0.144 Tm
0.000 0.500 0.233 Au
0.500 0.000 0.767 Au
0.500 0.500 0.500 Zr
0.000 0.000 0.500 Zr
```

***

Run ii
Compound: TmZrAu
Source: Alexandria
Functional: GGA-PBE
Structure: optimized geometry

Cell and atoms, written as POSCAR:
```
TmZrAu
1.0
3.569 0.000 0.000
0.000 4.790 0.000
0.000 -2.395 4.148
Tm Au Zr
1 1 1
Direct
0.642 0.667 0.333 Tm
0.249 0.333 0.667 Au
0.110 0.000 0.000 Zr
```

***

Run iii
Compound: TmZrAu
Source: Alexandria
Functional: GGA-PBE
Structure: optimized geometry

Cell and atoms, written as POSCAR:
```
TmZrAu
1.0
3.400 0.000 0.000
0.000 3.400 0.000
-1.700 -1.700 5.941
Tm Au Zr
1 1 1
Direct
0.326 0.326 0.651 Tm
0.662 0.662 0.323 Au
0.013 0.013 0.025 Zr
```

***

Energy ordering: run i at the bottom, the next structure 0.047 eV/atom above.

***

Run i
Compound: TmZrAu2
Source: Alexandria
Functional: GGA-PBE
Structure: optimized geometry

Cell and atoms, written as POSCAR:
```
TmZrAu2
1.0
-0.101 -3.409 0.135
1.171 0.093 3.204
-6.853 0.301 2.497
Tm Au Zr
1 2 1
Direct
0.500 0.500 0.500 Tm
0.000 0.000 0.755 Au
0.000 0.000 0.245 Au
0.500 0.500 0.000 Zr
```

***

Run ii
Compound: TmZrAu2
Source: Alexandria
Functional: GGA-PBE
Structure: optimized geometry

Cell and atoms, written as POSCAR:
```
TmZrAu2
1.0
4.941 0.000 0.000
2.471 4.279 0.000
2.471 1.426 4.035
Tm Au Zr
1 2 1
Direct
0.000 0.000 0.000 Tm
0.250 0.250 0.250 Au
0.750 0.750 0.750 Au
0.500 0.500 0.500 Zr
```

***

Energy ordering: run i at the bottom, the next structure 0.030 eV/atom above.

***

Run i
Compound: V4Au
Source: Alexandria
Functional: GGA-PBE
Structure: optimized geometry

Cell and atoms, written as POSCAR:
```
V4Au
1.0
-4.671 -0.056 0.759
0.608 -3.116 3.510
0.459 3.562 3.083
Au V
1 4
Direct
0.500 0.500 0.500 Au
0.000 0.000 0.000 V
0.500 0.000 0.500 V
0.000 0.500 0.500 V
0.500 0.500 0.000 V
```

***

Run ii
Compound: V4Au
Source: Alexandria
Functional: GGA-PBE
Structure: optimized geometry

Cell and atoms, written as POSCAR:
```
V4Au
1.0
-2.472 2.621 3.412
-5.951 -5.889 0.213
4.162 -3.986 6.077
V Au
16 4
Direct
0.500 0.900 0.600 V
0.500 0.600 0.100 V
0.500 0.400 0.900 V
0.500 0.100 0.400 V
0.500 0.204 0.110 V
0.500 0.110 0.796 V
0.500 0.890 0.204 V
0.500 0.796 0.890 V
0.500 0.296 0.610 V
0.500 0.704 0.390 V
0.500 0.610 0.704 V
0.500 0.390 0.296 V
0.225 0.000 0.000 V
0.775 0.500 0.500 V
0.775 0.000 0.000 V
0.225 0.500 0.500 V
0.000 0.130 0.630 Au
0.000 0.630 0.870 Au
0.000 0.370 0.130 Au
0.000 0.870 0.370 Au
```

***

Energy ordering: run ii at the bottom, the next structure 0.831 eV/atom above.

***

Run i
Compound: V3WAu
Source: Alexandria
Functional: GGA-PBE
Structure: optimized geometry

Cell and atoms, written as POSCAR:
```
V3WAu
1.0
4.669 0.000 0.000
0.000 4.669 0.000
0.000 0.000 4.669
Au W V
1 1 3
Direct
0.000 0.000 0.000 Au
0.500 0.500 0.500 W
0.000 0.500 0.000 V
0.000 0.000 0.500 V
0.500 0.000 0.000 V
```

***

Run ii
Compound: V3WAu
Source: Alexandria
Functional: GGA-PBE
Structure: optimized geometry

Cell and atoms, written as POSCAR:
```
V3WAu
1.0
-1.653 -4.275 0.043
3.769 -1.478 -2.149
2.019 -0.740 4.048
Au W V
1 1 3
Direct
0.500 0.500 0.500 Au
0.000 0.000 0.000 W
0.000 0.500 0.000 V
0.000 0.000 0.500 V
0.500 0.000 0.000 V
```

***

Energy ordering: run ii at the bottom, the next structure 0.632 eV/atom above.

***

Run i
Compound: VW3Au
Source: Alexandria
Functional: GGA-PBE
Structure: optimized geometry

Cell and atoms, written as POSCAR:
```
VW3Au
1.0
4.825 0.000 0.000
0.000 4.825 0.000
0.000 0.000 4.825
Au W V
1 3 1
Direct
0.000 0.000 0.000 Au
0.000 0.500 0.000 W
0.000 0.000 0.500 W
0.500 0.000 0.000 W
0.500 0.500 0.500 V
```

***

Run ii
Compound: VW3Au
Source: Alexandria
Functional: GGA-PBE
Structure: optimized geometry

Cell and atoms, written as POSCAR:
```
VW3Au
1.0
4.523 0.000 0.000
0.000 4.523 0.000
0.000 0.000 4.523
Au W V
1 3 1
Direct
0.500 0.500 0.500 Au
0.000 0.500 0.000 W
0.000 0.000 0.500 W
0.500 0.000 0.000 W
0.000 0.000 0.000 V
```

***

Energy ordering: run ii at the bottom, the next structure 1.190 eV/atom above.

***

Run i
Compound: V2Zn2Au
Source: Alexandria
Functional: GGA-PBE
Structure: optimized geometry

Cell and atoms, written as POSCAR:
```
V2Zn2Au
1.0
7.187 0.000 0.000
0.000 7.187 0.000
0.000 0.000 3.054
Zn Au V
4 2 4
Direct
0.200 0.700 0.500 Zn
0.700 0.800 0.500 Zn
0.800 0.300 0.500 Zn
0.300 0.200 0.500 Zn
0.000 0.000 0.000 Au
0.500 0.500 0.000 Au
0.406 0.906 0.000 V
0.906 0.594 0.000 V
0.594 0.094 0.000 V
0.094 0.406 0.000 V
```

***

Run ii
Compound: V2Zn2Au
Source: Alexandria
Functional: GGA-PBE
Structure: optimized geometry

Cell and atoms, written as POSCAR:
```
V2Zn2Au
1.0
-2.247 4.901 -3.972
-0.552 -4.353 -5.059
-3.146 -0.686 0.934
Zn Au V
4 2 4
Direct
0.371 0.871 0.000 Zn
0.871 0.629 0.000 Zn
0.629 0.129 0.000 Zn
0.129 0.371 0.000 Zn
0.000 0.000 0.000 Au
0.500 0.500 0.000 Au
0.168 0.668 0.500 V
0.668 0.832 0.500 V
0.832 0.332 0.500 V
0.332 0.168 0.500 V
```

***

Energy ordering: run ii at the bottom, the next structure 0.065 eV/atom above.